1.
Entry from Alexandria: an optimized crystal structure of Tb3Pr3Dy2 (GGA-PBE).

Calculated values
Energy of formation from the pure elements   83 meV/atom

Geometry as POSCAR:
```
Tb3Pr3Dy2
1.0
8.236 -2.892 0.000
8.236 2.892 0.000
-2.147 0.000 5.664
Tb Pr Dy
3 3 2
Direct
0.000 0.000 0.000
0.133 0.133 0.581
0.867 0.867 0.419
0.365 0.365 0.805
0.500 0.500 0.500
0.635 0.635 0.195
0.250 0.250 0.182
0.750 0.750 0.818
```

***

2.
Entry from Alexandria: an optimized crystal structure of Tb3PrDy5 (GGA-PBE).

Calculated values
Relative energy among the computed polymorphs   0.00 eV per formula unit
Energy of formation from the pure elements   330 meV/atom

Geometry as POSCAR:
```
Tb3PrDy5
1.0
9.504 -3.027 0.000
9.504 3.027 0.000
-4.150 0.000 10.511
Tb Pr Dy
6 2 10
Direct
0.000 0.000 0.000
0.000 0.000 0.500
0.052 0.594 0.632
0.406 0.948 0.868
0.594 0.052 0.132
0.948 0.406 0.368
0.095 0.905 0.750
0.905 0.095 0.250
0.084 0.585 0.298
0.101 0.564 0.969
0.415 0.585 0.250
0.415 0.916 0.202
0.436 0.899 0.531
0.564 0.101 0.469
0.585 0.084 0.798
0.585 0.415 0.750
0.899 0.436 0.031
0.916 0.415 0.702
```

***

3.
Entry from Alexandria: an optimized crystal structure of TbPr7Dy12 (GGA-PBE).

Calculated values
Relative energy among the computed polymorphs   0.00 eV per formula unit
Energy of formation from the pure elements   228 meV/atom

Geometry as POSCAR:
```
TbPr7Dy12
1.0
6.024 3.478 5.439
-6.024 3.478 5.439
0.000 -6.956 5.439
Tb Pr Dy
1 7 12
Direct
0.000 0.000 0.000
0.081 0.156 0.399
0.156 0.399 0.081
0.399 0.081 0.156
0.500 0.500 0.500
0.601 0.919 0.844
0.844 0.601 0.919
0.919 0.844 0.601
0.135 0.497 0.616
0.145 0.749 0.273
0.251 0.727 0.855
0.273 0.145 0.749
0.384 0.865 0.503
0.497 0.616 0.135
0.503 0.384 0.865
0.616 0.135 0.497
0.727 0.855 0.251
0.749 0.273 0.145
0.855 0.251 0.727
0.865 0.503 0.384
```

***

4.
Entry from Alexandria: an optimized crystal structure of Tb3Pr5Dy2 (GGA-PBE).

Calculated values
Relative energy among the computed polymorphs   1.88 eV per formula unit
Energy of formation from the pure elements   361 meV/atom

Geometry as POSCAR:
```
Tb3Pr5Dy2
1.0
-4.748 6.898 5.532
4.748 -6.898 5.532
4.748 6.898 -5.532
Tb Pr Dy
6 10 4
Direct
0.123 0.748 0.871
0.250 0.250 0.000
0.377 0.248 0.625
0.623 0.752 0.375
0.750 0.750 0.000
0.877 0.252 0.129
0.004 0.250 0.754
0.130 0.394 0.525
0.250 0.750 0.500
0.370 0.894 0.264
0.496 0.250 0.246
0.504 0.750 0.754
0.630 0.106 0.736
0.750 0.250 0.500
0.870 0.606 0.475
0.996 0.750 0.246
0.119 0.086 0.205
0.381 0.586 0.967
0.619 0.414 0.033
0.881 0.914 0.795
```

***

5.
Entry from Alexandria: an optimized crystal structure of Tb8Pr2Dy (GGA-PBE).

Calculated values
Relative energy among the computed polymorphs   1.49 eV per formula unit
Energy of formation from the pure elements   154 meV/atom

Geometry as POSCAR:
```
Tb8Pr2Dy
1.0
4.536 -8.091 0.000
4.536 8.091 0.000
-3.229 0.000 4.985
Tb Pr Dy
8 2 1
Direct
0.099 0.329 0.673
0.207 0.793 0.000
0.329 0.099 0.673
0.425 0.425 0.204
0.575 0.575 0.796
0.671 0.901 0.327
0.793 0.207 0.000
0.901 0.671 0.327
0.307 0.693 0.500
0.693 0.307 0.500
0.000 0.000 0.000
```

***

6.
Entry from Alexandria: an optimized crystal structure of Tb2PrDy (GGA-PBE).

Calculated values
Relative energy among the computed polymorphs   0.01 eV per formula unit
Energy of formation from the pure elements   21 meV/atom

Geometry as POSCAR:
```
Tb2PrDy
1.0
3.595 0.000 0.000
0.000 3.595 0.000
0.000 0.000 10.168
Tb Pr Dy
2 1 1
Direct
0.000 0.000 0.244
0.000 0.000 0.756
0.500 0.500 0.500
0.500 0.500 0.000
```

***

7.
Entry from Alexandria: an optimized crystal structure of Tb8PrDy5 (GGA-PBE).

Calculated values
Energy of formation from the pure elements   243 meV/atom

Geometry as POSCAR:
```
Tb8PrDy5
1.0
-4.750 4.750 5.135
4.750 -4.750 5.135
4.750 4.750 -5.135
Tb Pr Dy
8 1 5
Direct
0.171 0.410 0.587
0.324 0.218 0.248
0.416 0.829 0.239
0.590 0.177 0.761
0.782 0.030 0.106
0.823 0.584 0.413
0.924 0.676 0.894
0.970 0.076 0.752
0.500 0.500 0.000
0.065 0.469 0.179
0.114 0.935 0.403
0.290 0.886 0.821
0.531 0.710 0.597
0.750 0.250 0.500
```

***

8.
Entry from Alexandria: an optimized crystal structure of Tb7Pr3Dy2 (GGA-PBE).

Calculated values
Energy of formation from the pure elements   85 meV/atom

Geometry as POSCAR:
```
Tb7Pr3Dy2
1.0
5.879 0.000 0.000
0.000 3.592 0.000
-1.018 0.000 18.903
Tb Pr Dy
7 3 2
Direct
0.000 0.000 0.000
0.194 0.500 0.176
0.257 0.500 0.537
0.308 0.000 0.856
0.692 0.000 0.144
0.743 0.500 0.463
0.806 0.500 0.824
0.223 0.000 0.366
0.500 0.500 0.000
0.777 0.000 0.634
0.287 0.500 0.707
0.713 0.500 0.293
```

***

9.
Entry from Alexandria: an optimized crystal structure of Tb2Pr9Dy (GGA-PBE).

Calculated values
Energy of formation from the pure elements   14 meV/atom

Geometry as POSCAR:
```
Tb2Pr9Dy
1.0
5.194 0.000 0.000
0.000 5.194 0.000
0.000 0.000 15.581
Tb Pr Dy
2 9 1
Direct
0.000 0.000 0.167
0.000 0.000 0.833
0.000 0.500 0.000
0.000 0.500 0.334
0.000 0.500 0.666
0.500 0.000 0.000
0.500 0.000 0.334
0.500 0.000 0.666
0.500 0.500 0.167
0.500 0.500 0.500
0.500 0.500 0.833
0.000 0.000 0.500
```

***

10.
Entry from Alexandria: an optimized crystal structure of Tb4PrDy2 (GGA-PBE).

Calculated values
Relative energy among the computed polymorphs   0.63 eV per formula unit
Energy of formation from the pure elements   124 meV/atom

Geometry as POSCAR:
```
Tb4PrDy2
1.0
6.134 0.000 0.000
0.000 6.591 0.000
-2.807 0.000 11.229
Tb Pr Dy
8 2 4
Direct
0.149 0.008 0.289
0.149 0.492 0.289
0.213 0.250 0.574
0.351 0.750 0.838
0.649 0.250 0.162
0.787 0.750 0.426
0.851 0.508 0.711
0.851 0.992 0.711
0.463 0.750 0.140
0.537 0.250 0.860
0.103 0.250 0.994
0.348 0.750 0.551
0.652 0.250 0.449
0.897 0.750 0.006
```

***

11.
Entry from Alexandria: an optimized crystal structure of TbPr4Dy6 (GGA-PBE).

Calculated values
Relative energy among the computed polymorphs   0.00 eV per formula unit
Energy of formation from the pure elements   294 meV/atom

Geometry as POSCAR:
```
TbPr4Dy6
1.0
-3.358 3.358 8.494
3.358 -3.358 8.494
3.358 3.358 -8.494
Tb Pr Dy
1 4 6
Direct
0.000 0.000 0.000
0.015 0.015 0.381
0.367 0.985 0.000
0.633 0.633 0.619
0.985 0.367 0.000
0.000 0.500 0.500
0.201 0.555 0.000
0.445 0.445 0.646
0.500 0.000 0.500
0.555 0.201 0.000
0.799 0.799 0.354
```

***

12.
Entry from Alexandria: an optimized crystal structure of Tb7Pr2Dy (GGA-PBE).

Calculated values
Relative energy among the computed polymorphs   1.37 eV per formula unit
Energy of formation from the pure elements   154 meV/atom

Geometry as POSCAR:
```
Tb7Pr2Dy
1.0
3.282 -14.512 0.000
3.282 14.512 0.000
0.000 0.000 3.516
Tb Pr Dy
7 2 1
Direct
0.000 0.000 0.000
0.157 0.352 0.000
0.315 0.685 0.500
0.352 0.157 0.000
0.648 0.843 0.000
0.685 0.315 0.500
0.843 0.648 0.000
0.207 0.793 0.000
0.793 0.207 0.000
0.500 0.500 0.500
```